1.
Ca3NiRu | PBE | optimized geometry

The formation energy is 0.59 eV/atom. The value obtained for the calculated volume is 27.86 Å³ per atom. The value obtained for the offset from the most stable computed form is 33 meV per atom.

The space group is Pm-3m (No. 221) and the conventional cell measures 5.184, 5.184 and 5.184 Å, with angles of 90.00, 90.00 and 90.00 degrees. The distinct sites, in fractional coordinates, are Ca at (0.000, 0.000, 0.500), Ni at (0.000, 0.000, 0.000) and Ru at (0.500, 0.500, 0.500).


2.
CaNiRu2 | PBE | optimized geometry

The formation energy is 0.45 eV/atom. The value obtained for the calculated volume is 15.74 Å³ per atom. The value obtained for the offset from the most stable computed form is 200 meV per atom.

The space group is P4/mmm (No. 123) and the conventional cell measures 3.796, 3.796 and 4.369 Å, with angles of 90.00, 90.00 and 90.00 degrees. The distinct sites, in fractional coordinates, are Ca at (0.000, 0.000, 0.000), Ni at (0.500, 0.500, 0.000) and Ru at (0.000, 0.500, 0.500).


3.
CaNiRu2 | PBE | optimized geometry

The formation energy is 0.25 eV/atom. The value obtained for the calculated volume is 16.57 Å³ per atom. The value obtained for the offset from the most stable computed form is 0 meV per atom.

The space group is Pmm2 (No. 25) and the conventional cell measures 2.831, 3.654 and 6.408 Å, with angles of 90.00, 90.00 and 90.00 degrees. The distinct sites, in fractional coordinates, are Ca at (0.000, 0.000, 0.000), Ni at (0.500, 0.500, 0.283), Ru at (0.000, 0.000, 0.492) and Ru at (0.500, 0.500, 0.671).


4.
CaNi2Ru | PBE | optimized geometry

The formation energy is 0.27 eV/atom. The value obtained for the calculated volume is 16.63 Å³ per atom. The value obtained for the offset from the most stable computed form is 96 meV per atom.

The space group is C2/m (No. 12) and the conventional cell measures 8.304, 2.909 and 5.583 Å, with angles of 90.00, 99.52 and 90.00 degrees. The distinct sites, in fractional coordinates, are Ca at (0.000, 0.000, 0.000), Ni at (0.236, 0.000, 0.664) and Ru at (0.000, 0.500, 0.500).


5.
CaNi2Ru | PBE | optimized geometry

The formation energy is 0.20 eV/atom. The value obtained for the calculated volume is 15.26 Å³ per atom. The value obtained for the offset from the most stable computed form is 25 meV per atom.

The space group is Pm (No. 6) and the conventional cell measures 2.760, 4.200 and 5.421 Å, with angles of 90.00, 103.80 and 90.00 degrees. The distinct sites, in fractional coordinates, are Ca at (0.000, 0.000, 0.000), Ni at (0.610, 0.500, 0.231), Ni at (0.727, 0.000, 0.495) and Ru at (0.294, 0.500, 0.622).


6.
CaNi2Ru | PBE | optimized geometry

The formation energy is 0.25 eV/atom. The value obtained for the calculated volume is 14.52 Å³ per atom. The value obtained for the offset from the most stable computed form is 73 meV per atom.

The space group is Cmmm (No. 65) and the conventional cell measures 5.801, 7.327 and 2.732 Å, with angles of 90.00, 90.00 and 90.00 degrees. The distinct sites, in fractional coordinates, are Ca at (0.000, 0.000, 0.000), Ni at (0.250, 0.250, 0.500) and Ru at (0.000, 0.500, 0.000).


7.
CaNi2Ru | PBE | optimized geometry

The formation energy is 0.18 eV/atom. The value obtained for the calculated volume is 15.59 Å³ per atom. The value obtained for the offset from the most stable computed form is 0 meV per atom.

The space group is Pmmm (No. 47) and the conventional cell measures 2.744, 3.578 and 6.351 Å, with angles of 90.00, 90.00 and 90.00 degrees. The distinct sites, in fractional coordinates, are Ca at (0.000, 0.000, 0.000), Ni at (0.500, 0.500, 0.310) and Ru at (0.000, 0.000, 0.500).


8.
CaNiRu2 | PBE | optimized geometry

The formation energy is 0.43 eV/atom. The value obtained for the calculated volume is 15.86 Å³ per atom. The value obtained for the offset from the most stable computed form is 179 meV per atom.

The space group is P2/m (No. 10) and the conventional cell measures 2.855, 4.599 and 4.890 Å, with angles of 90.00, 98.89 and 90.00 degrees. The distinct sites, in fractional coordinates, are Ca at (0.000, 0.000, 0.000), Ni at (0.500, 0.000, 0.500) and Ru at (0.312, 0.500, 0.724).


9.
CaNiRu2 | PBE | optimized geometry

The formation energy is 0.27 eV/atom. The value obtained for the calculated volume is 15.72 Å³ per atom. The value obtained for the offset from the most stable computed form is 20 meV per atom.

The space group is C2/m (No. 12) and the conventional cell measures 10.972, 2.788 and 4.500 Å, with angles of 90.00, 114.00 and 90.00 degrees. The distinct sites, in fractional coordinates, are Ca at (0.000, 0.000, 0.000), Ni at (0.000, 0.500, 0.500) and Ru at (0.215, 0.000, 0.712).


10.
CaNi2Ru2 | PBE | optimized geometry

The formation energy is 0.21 eV/atom. The value obtained for the calculated volume is 16.07 Å³ per atom. The value obtained for the offset from the most stable computed form is 2 meV per atom.

The space group is I4/mmm (No. 139) and the conventional cell measures 3.828, 3.828 and 10.970 Å, with angles of 90.00, 90.00 and 90.00 degrees. The distinct sites, in fractional coordinates, are Ca at (0.000, 0.000, 0.000), Ni at (0.000, 0.000, 0.394) and Ru at (0.000, 0.500, 0.250).


11.
CaNiRu2 | PBE | optimized geometry

The formation energy is 0.40 eV/atom. The value obtained for the calculated volume is 15.39 Å³ per atom. The value obtained for the offset from the most stable computed form is 147 meV per atom.

The space group is P2/m (No. 10) and the conventional cell measures 4.792, 2.752 and 4.912 Å, with angles of 90.00, 108.19 and 90.00 degrees. The distinct sites, in fractional coordinates, are Ca at (0.000, 0.000, 0.000), Ni at (0.500, 0.500, 0.000), Ru at (0.000, 0.500, 0.500) and Ru at (0.500, 0.000, 0.500).


12.
CaNi2Ru | PBE | optimized geometry

The formation energy is 0.51 eV/atom. The value obtained for the calculated volume is 20.69 Å³ per atom. The value obtained for the offset from the most stable computed form is 336 meV per atom.

The space group is I-42d (No. 122) and the conventional cell measures 4.547, 4.547 and 16.014 Å, with angles of 90.00, 90.00 and 90.00 degrees. The distinct sites, in fractional coordinates, are Ca at (0.000, 0.000, 0.000), Ni at (0.054, 0.250, 0.625) and Ru at (0.000, 0.000, 0.500).


13.
CaNiRu2 | PBE | optimized geometry

The formation energy is 0.50 eV/atom. The value obtained for the calculated volume is 15.41 Å³ per atom. The value obtained for the offset from the most stable computed form is 255 meV per atom.

The space group is Cmmm (No. 65) and the conventional cell measures 5.427, 8.582 and 2.647 Å, with angles of 90.00, 90.00 and 90.00 degrees. The distinct sites, in fractional coordinates, are Ca at (0.000, 0.000, 0.000), Ni at (0.000, 0.500, 0.000) and Ru at (0.250, 0.250, 0.500).


14.
CaNi2Ru | PBE | optimized geometry

The formation energy is 0.33 eV/atom. The value obtained for the calculated volume is 15.28 Å³ per atom. The value obtained for the offset from the most stable computed form is 150 meV per atom.

The space group is Fm-3m (No. 225) and the conventional cell measures 6.253, 6.253 and 6.253 Å, with angles of 90.00, 90.00 and 90.00 degrees. The distinct sites, in fractional coordinates, are Ca at (0.000, 0.000, 0.000), Ni at (0.250, 0.250, 0.250) and Ru at (0.000, 0.000, 0.500).


15.
CaNiRu2 | PBE | optimized geometry

The formation energy is 0.27 eV/atom. The value obtained for the calculated volume is 16.31 Å³ per atom. The value obtained for the offset from the most stable computed form is 19 meV per atom.

The space group is Amm2 (No. 38) and the conventional cell measures 4.211, 2.808 and 11.032 Å, with angles of 90.00, 90.00 and 90.00 degrees. The distinct sites, in fractional coordinates, are Ca at (0.000, 0.000, 0.000), Ni at (0.500, 0.000, 0.621), Ru at (0.000, 0.000, 0.745) and Ru at (0.500, 0.000, 0.318).